1.
11
Lattice="-3.801 -1.356 3.154 1.228 -6.126 -1.153 6.330 3.102 4.802" Properties=species:S:1:pos:R:3 comment="Pa8Ga2Fe PBE-GGA optimized geometry" n_ef_per_ev_cell=23.9 magmom_total_mub_per_cell=0.009 formation_enthalpy_0k_ev_per_atom=-0.01 total_energy_ev_per_atom=-8.233 pbc="T T T"
Pa 4.297 -1.546 4.514
Pa 0.510 -5.725 2.313
Pa 1.501 -3.796 4.336
Pa 0.424 -1.411 -0.095
Pa 2.255 -0.583 2.467
Pa 3.246 1.346 4.491
Pa -0.541 -2.833 2.289
Pa 3.332 -2.968 6.898
Ga 1.384 -0.900 5.440
Ga 2.372 -3.480 1.364
Fe -1.900 -0.678 1.577

2.
8
Lattice="4.387 0.000 0.000 0.000 4.608 0.131 -2.194 -1.167 7.429" Properties=species:S:1:pos:R:3 comment="Pa3Ga3Fe2 PBE-GGA optimized geometry" n_ef_per_ev_cell=7.9 magmom_total_mub_per_cell=0.000 formation_enthalpy_0k_ev_per_atom=-0.43 total_energy_ev_per_atom=-7.241 pbc="T T T"
Pa 0.000 2.304 2.486
Pa 2.194 1.137 5.074
Pa 0.000 0.000 0.000
Ga 2.194 -0.041 2.036
Ga 2.194 2.304 0.065
Ga 0.000 3.483 5.524
Fe 0.000 0.072 3.144
Fe 2.194 3.370 4.416